Material: AcV2TeO8
Method: DFT, PBE with a Hubbard U
State: relaxed

Computed properties:
V in Å³/atom: 14.2
VASP energy in eV per atom: -6.979
Total moment in μB/f.u.: 1.0

a b c (Å): 8.0894 8.0894 8.0894
angles (deg): 36.81 36.81 36.81
Last column: nearest neighbours and their distance in Å.
Fractional coordinates of all 12 atoms:
Ac 0.0000 0.0000 0.0000  12 O 2.86-2.95
V 0.2508 0.2508 0.2508  4 O 1.72-1.77
V 0.7492 0.7492 0.7492  4 O 1.72-1.77
Te 0.5000 0.5000 0.5000  6 O 2.25
O 0.1001 0.4319 0.7764  1 V 1.77
O 0.2236 0.5681 0.8999  1 V 1.77
O 0.3269 0.3269 0.3269  1 V 1.72
O 0.4319 0.7764 0.1001  1 V 1.77
O 0.5681 0.8999 0.2236  1 V 1.77
O 0.6731 0.6731 0.6731  1 V 1.72
O 0.7764 0.1001 0.4319  1 V 1.77
O 0.8999 0.2236 0.5681  1 V 1.77